! BaV2TeO8 | Alexandria | GGA+U | optimized geometry; values from VASP
&SYSTEM
  ibrav = 0, nat = 12, ntyp = 4
/
ATOMIC_SPECIES
Ba 137.33 Ba.upf
V 50.94 V.upf
Te 127.60 Te.upf
O 16.00 O.upf
ATOMIC_POSITIONS crystal
Ba 0.000 0.000 0.000
V 0.368 0.368 0.717
V 0.632 0.632 0.283
Te 0.000 0.000 0.500
O 0.224 0.730 0.701
O 0.232 0.232 0.557
O 0.270 0.776 0.299
O 0.297 0.297 0.909
O 0.703 0.703 0.091
O 0.730 0.224 0.701
O 0.768 0.768 0.443
O 0.776 0.270 0.299
CELL_PARAMETERS angstrom
4.511 -2.926 0.000
4.511 2.926 0.000
-0.336 0.000 7.965
! Relative energy among the computed polymorphs ... 26 meV/atom